DFT (GGA-PBEsol) results for La2MgRe after structural relaxation.

Cell lengths 5.022, 5.022, 5.022 Å; angles 60.00, 60.00, 60.00 degrees
Element x y z (fractional)
Re  0.250  0.250  0.250
La  0.750  0.750  0.750
La  0.000  0.000  0.000
Mg  0.500  0.500  0.500

- energy relative to the elements (kJ per mole of atoms) = 38
- crystal system = cubic
- density of states at the Fermi level (states/eV/f.u.) = 4.43
- E_tot (eV/atom) = -6.05